(1)
ScIr2Au: optimized geometry, GGA-PBE.

Lattice parameters (Å, degrees): 4.977 4.977 4.977 132.86 132.86 68.87
Atoms (fractional coordinates):
Au 0.250 0.750 0.500
Ir 0.000 0.000 0.000
Sc 0.500 0.500 0.000
Ir 0.750 0.250 0.500

Values from the calculation:
Mass density, g/cm³: 15.99
Crystal system: tetragonal
Size of the total moment, μB/f.u.: 0.0
Calculated total energy, eV/atom: -7.189
Formation energy, eV/f.u.: -1.43

---

(2)
NpU2Si: optimized geometry, GGA-PBE.

Lattice parameters (Å, degrees): 5.082 6.121 10.060 90.00 75.75 90.00
Atoms (fractional coordinates):
Np 0.031 0.877 0.120
U 0.991 0.660 0.906
Si 0.497 0.871 0.864
Np 0.969 0.123 0.880
Si 0.003 0.871 0.636
U 0.009 0.340 0.094
Si 0.503 0.129 0.136
Np 0.531 0.123 0.620
U 0.491 0.340 0.406
Np 0.469 0.877 0.380
U 0.038 0.651 0.378
Si 0.997 0.129 0.364
U 0.462 0.651 0.122
U 0.509 0.660 0.594
U 0.962 0.349 0.622
U 0.538 0.349 0.878

Values from the calculation:
ΔE_f (raw), eV/atom: -0.067
Mass density, g/cm³: 16.23
Crystal system: monoclinic
Size of the total moment, μB/f.u.: 0.0
Calculated total energy, eV/atom: -10.303

---

(3)
KAs2Au: optimized geometry, GGA-PBE.

Lattice parameters (Å, degrees): 5.831 5.831 5.831 136.75 136.75 62.82
Atoms (fractional coordinates):
As 0.500 0.500 0.000
K 0.750 0.250 0.500
Au 0.250 0.750 0.500
As 0.000 0.000 0.000

Values from the calculation:
Mass density, g/cm³: 6.97
Crystal system: tetragonal
Size of the total moment, μB/f.u.: 0.0
Calculated total energy, eV/atom: -3.131
Formation energy, eV/f.u.: 1.15

---

(4)
TcNiTe2: optimized geometry, GGA-PBE.

Lattice parameters (Å, degrees): 4.789 4.789 4.789 60.00 60.00 60.00
Atoms (fractional coordinates):
Ni 0.500 0.500 0.500
Tc 0.750 0.750 0.750
Te 0.000 0.000 0.000
Te 0.250 0.250 0.250

Values from the calculation:
ΔE_f (raw), eV/atom: 0.912
Mass density, g/cm³: 8.81
Crystal system: cubic
Size of the total moment, μB/f.u.: 1.7
Calculated total energy, eV/atom: -4.696

---

(5)
U2OsRu: optimized geometry, GGA-PBE.

Lattice parameters (Å, degrees): 3.143 4.287 6.334 89.56 90.00 111.50
Atoms (fractional coordinates):
Os 0.000 0.000 0.000
U 0.721 0.441 0.749
Ru 0.000 0.000 0.500
U 0.279 0.559 0.251

Values from the calculation:
Mass density, g/cm³: 16.05
Crystal system: monoclinic
Size of the total moment, μB/f.u.: 2.6
Calculated total energy, eV/atom: -10.686
Formation energy, eV/f.u.: 0.34

---

(6)
Tl4HgBr: optimized geometry, GGA-PBE.

Lattice parameters (Å, degrees): 6.563 6.563 6.563 60.00 60.00 60.00
Atoms (fractional coordinates):
Tl 0.875 0.375 0.375
Tl 0.375 0.375 0.375
Tl 0.375 0.875 0.375
Hg 0.000 0.000 0.000
Tl 0.375 0.375 0.875
Br 0.750 0.750 0.750

Values from the calculation:
ΔE_f (raw), eV/atom: -0.073
Mass density, g/cm³: 9.12
Crystal system: cubic
Size of the total moment, μB/f.u.: 0.0
Calculated total energy, eV/atom: -1.980